# 1
This record from Alexandria via LeMat-Bulk describes an optimized crystal structure of SrAlO3. The functional is PBE.

Structure (POSCAR):
```
SrAlO3
1.0
2.837 -2.157 3.748
4.467 -0.486 -2.562
2.383 4.248 1.740
Sr Al O
1 1 3
Direct
0.566 0.566 0.566
0.857 0.857 0.857
0.676 0.101 0.676
0.676 0.676 0.101
0.101 0.676 0.676
```

The symmetry is No. 160. The calculation puts the uncorrected formation energy at -190 kJ/mol of atoms.



# 2
This record from Alexandria via LeMat-Bulk describes an optimized crystal structure of SrAlO3. The functional is PBE.

Structure (POSCAR):
```
SrAlO3
1.0
5.300 0.000 0.000
0.000 9.150 0.000
0.000 0.000 5.914
Sr Al O
4 4 12
Direct
0.500 0.000 0.000
0.000 0.000 0.500
0.000 0.500 0.500
0.500 0.500 0.000
0.993 0.750 0.069
0.007 0.250 0.931
0.507 0.250 0.569
0.493 0.750 0.431
0.565 0.597 0.604
0.065 0.903 0.896
0.323 0.250 0.825
0.177 0.750 0.325
0.565 0.903 0.604
0.823 0.250 0.675
0.065 0.597 0.896
0.435 0.403 0.396
0.435 0.097 0.396
0.935 0.403 0.104
0.935 0.097 0.104
0.677 0.750 0.175
```

The symmetry is No. 62. The calculation puts the uncorrected formation energy at -242 kJ/mol of atoms.



# 3
This record from Alexandria via LeMat-Bulk describes an optimized crystal structure of SrAl4O7. The functional is PBE.

Structure (POSCAR):
```
SrAl4O7
1.0
4.954 0.000 0.000
0.000 5.212 0.000
0.000 0.000 12.936
O Al Sr
14 8 2
Direct
0.470 0.785 0.000
0.425 0.861 0.221
0.505 0.347 0.136
0.005 0.653 0.636
0.925 0.139 0.721
0.005 0.653 0.364
0.505 0.347 0.864
0.429 0.248 0.368
0.970 0.215 0.500
0.925 0.139 0.279
0.425 0.861 0.779
0.429 0.248 0.632
0.929 0.752 0.132
0.929 0.752 0.868
0.072 0.828 0.251
0.586 0.672 0.119
0.086 0.328 0.381
0.572 0.172 0.249
0.072 0.828 0.749
0.586 0.672 0.881
0.086 0.328 0.619
0.572 0.172 0.751
0.151 0.124 0.000
0.651 0.876 0.500
```

The symmetry is No. 31. The calculation puts the uncorrected formation energy at -289 kJ/mol of atoms.



# 4
This record from Alexandria via LeMat-Bulk describes an optimized crystal structure of SrAlO3. The functional is PBE.

Structure (POSCAR):
```
SrAlO3
1.0
3.680 0.000 0.000
0.000 3.680 0.000
0.000 0.000 6.099
Al Sr O
1 1 3
Direct
0.500 0.500 0.487
0.000 0.000 0.161
0.000 0.000 0.793
0.000 0.500 0.411
0.500 0.000 0.411
```

The symmetry is No. 99. The calculation puts the uncorrected formation energy at -159 kJ/mol of atoms.



# 5
This record from Alexandria via LeMat-Bulk describes an optimized crystal structure of Sr2AlO. The functional is PBE.

Structure (POSCAR):
```
Sr2AlO
1.0
-1.093 6.850 2.318
-7.105 -1.454 0.945
-3.270 1.399 5.863
Al Sr O
2 4 2
Direct
0.750 0.250 0.500
0.000 0.000 0.000
0.233 0.625 0.250
0.517 0.125 0.250
0.375 0.483 0.750
0.875 0.767 0.750
0.500 0.500 0.000
0.250 0.750 0.500
```

The symmetry is No. 122. The excess energy over the best structure of this formula in the dataset is 0 meV/atom. The calculation puts the uncorrected formation energy at -112 kJ/mol of atoms.



# 6
This record from Alexandria via LeMat-Bulk describes an optimized crystal structure of SrAlO3. The functional is PBE.

Structure (POSCAR):
```
SrAlO3
1.0
11.088 0.000 0.700
4.428 5.350 -1.889
-4.428 5.350 1.889
Al O Sr
4 12 4
Direct
0.750 0.443 0.943
0.250 0.557 0.057
0.750 0.176 0.676
0.250 0.824 0.324
0.171 0.521 0.722
0.547 0.362 0.251
0.065 0.978 0.887
0.953 0.751 0.862
0.829 0.479 0.278
0.671 0.778 0.979
0.935 0.022 0.113
0.047 0.249 0.138
0.329 0.222 0.021
0.565 0.613 0.522
0.435 0.387 0.478
0.453 0.638 0.749
0.652 0.142 0.073
0.348 0.858 0.927
0.848 0.573 0.642
0.152 0.427 0.358
```

The symmetry is No. 15. The calculation puts the uncorrected formation energy at -247 kJ/mol of atoms.



# 7
This record from Alexandria via LeMat-Bulk describes an optimized crystal structure of SrAlO3. The functional is PBE.

Structure (POSCAR):
```
SrAlO3
1.0
-0.860 -3.186 1.308
3.411 -0.600 0.780
-0.688 2.075 4.602
Sr O Al
1 3 1
Direct
0.500 0.500 0.682
0.500 0.000 0.289
0.000 0.000 0.827
0.000 0.500 0.289
0.000 0.000 0.176
```

The symmetry is No. 99. The calculation puts the uncorrected formation energy at -247 kJ/mol of atoms.



# 8
This record from Alexandria via LeMat-Bulk describes an optimized crystal structure of Sr3Al2O6. The functional is PBE.

Structure (POSCAR):
```
Sr3Al2O6
1.0
-1.553 -1.461 3.129
2.730 -2.621 0.131
5.098 8.250 4.090
Al O Sr
2 6 3
Direct
0.396 0.396 0.791
0.604 0.604 0.209
0.414 0.914 0.828
0.307 0.307 0.614
0.586 0.086 0.172
0.086 0.586 0.172
0.914 0.414 0.828
0.693 0.693 0.386
0.183 0.183 0.365
0.000 0.000 0.000
0.817 0.817 0.635
```

The symmetry is No. 139. The calculation puts the uncorrected formation energy at -279 kJ/mol of atoms.



# 9
This record from Alexandria via LeMat-Bulk describes an optimized crystal structure of SrAlO3. The functional is PBE.

Structure (POSCAR):
```
SrAlO3
1.0
-4.121 -4.176 0.954
0.997 -5.359 2.370
-1.896 -1.828 5.329
Al O Sr
2 6 2
Direct
0.159 0.159 0.159
0.841 0.841 0.841
0.988 0.155 0.562
0.438 0.012 0.845
0.845 0.438 0.012
0.155 0.562 0.988
0.012 0.845 0.438
0.562 0.988 0.155
0.626 0.626 0.626
0.374 0.374 0.374
```

The symmetry is No. 148. The calculation puts the uncorrected formation energy at -232 kJ/mol of atoms.



# 10
This record from Alexandria via LeMat-Bulk describes an optimized crystal structure of SrAlO3. The functional is PBE.

Structure (POSCAR):
```
SrAlO3
1.0
-4.616 0.958 0.307
0.404 -0.655 8.544
0.682 3.219 0.214
Al Sr O
2 2 6
Direct
0.154 0.196 0.582
0.659 0.000 0.582
0.113 0.777 0.082
0.612 0.420 0.082
0.947 0.578 0.582
0.269 0.572 0.582
0.079 0.276 0.082
0.535 0.196 0.582
0.037 0.999 0.582
0.589 0.910 0.082
```

The symmetry is No. 6. The calculation puts the uncorrected formation energy at -251 kJ/mol of atoms.



# 11
This record from Alexandria via LeMat-Bulk describes an optimized crystal structure of SrAl22O34. The functional is PBE.

Structure (POSCAR):
```
SrAl22O34
1.0
-9.265 2.426 -1.998
-3.436 -5.492 9.263
4.232 8.754 6.760
O Al Sr
68 44 2
Direct
0.657 0.630 0.704
0.906 0.502 0.717
0.500 0.500 0.500
0.846 0.375 0.291
0.655 0.126 0.712
0.594 0.750 0.288
0.545 0.133 0.901
0.045 0.618 0.901
0.703 0.001 0.111
0.202 0.750 0.112
0.406 0.250 0.712
0.657 0.870 0.704
0.154 0.875 0.709
0.345 0.626 0.288
0.343 0.130 0.296
0.094 0.002 0.283
0.688 0.750 0.100
0.595 0.501 0.288
0.204 0.250 0.109
0.045 0.383 0.900
0.297 0.999 0.889
0.045 0.117 0.900
0.311 0.750 0.901
0.452 0.132 0.100
0.810 0.502 0.901
0.595 0.999 0.288
0.955 0.883 0.100
0.843 0.876 0.288
0.548 0.632 0.900
0.094 0.498 0.283
0.903 0.250 0.706
0.953 0.750 0.501
0.190 0.498 0.099
0.455 0.867 0.099
0.545 0.367 0.901
0.899 0.750 0.711
0.703 0.499 0.111
0.452 0.368 0.100
0.955 0.382 0.099
0.548 0.868 0.900
0.592 0.250 0.283
0.408 0.750 0.717
0.157 0.376 0.712
0.154 0.625 0.709
0.045 0.882 0.901
0.955 0.617 0.100
0.157 0.124 0.712
0.405 0.001 0.712
0.500 0.000 0.500
0.343 0.370 0.296
0.810 0.998 0.901
0.455 0.633 0.099
0.190 0.002 0.099
0.798 0.250 0.888
0.047 0.250 0.499
0.097 0.750 0.294
0.345 0.874 0.288
0.655 0.374 0.712
0.689 0.250 0.099
0.101 0.250 0.289
0.297 0.501 0.889
0.955 0.118 0.099
0.906 0.998 0.717
0.405 0.499 0.712
0.796 0.750 0.891
0.312 0.250 0.900
0.843 0.624 0.288
0.846 0.125 0.291
0.846 0.373 0.782
0.000 0.000 0.000
0.846 0.127 0.782
0.346 0.123 0.789
0.551 0.000 0.650
0.654 0.877 0.211
0.599 0.250 0.788
0.097 0.000 0.783
0.344 0.624 0.783
0.149 0.250 0.947
0.449 0.000 0.350
0.650 0.499 0.950
0.097 0.500 0.783
0.656 0.124 0.217
0.152 0.375 0.208
0.053 0.250 0.647
0.154 0.627 0.218
0.151 0.750 0.951
0.851 0.750 0.053
0.654 0.623 0.211
0.402 0.250 0.211
0.152 0.125 0.208
0.401 0.750 0.212
0.656 0.376 0.217
0.598 0.750 0.789
0.154 0.873 0.218
0.903 0.500 0.217
0.499 0.750 0.999
0.449 0.500 0.350
0.951 0.250 0.353
0.501 0.250 0.001
0.551 0.500 0.650
0.049 0.750 0.647
0.346 0.377 0.789
0.848 0.625 0.792
0.350 0.999 0.050
0.000 0.500 0.000
0.947 0.750 0.353
0.848 0.875 0.792
0.903 0.000 0.217
0.650 0.001 0.950
0.350 0.501 0.050
0.849 0.250 0.049
0.344 0.876 0.783
0.696 0.750 0.520
0.304 0.250 0.480
```

The symmetry is No. 11. The calculation puts the uncorrected formation energy at -290 kJ/mol of atoms.



# 12
This record from Alexandria via LeMat-Bulk describes an optimized crystal structure of SrAlO3. The functional is PBE.

Structure (POSCAR):
```
SrAlO3
1.0
-1.037 -0.274 -3.363
1.344 -3.252 0.285
-4.933 1.750 4.650
O Sr Al
3 1 1
Direct
0.416 0.474 0.302
0.916 0.974 0.302
0.457 0.016 0.844
0.799 0.357 0.686
0.797 0.356 0.184
```

The symmetry is No. 35. The calculation puts the uncorrected formation energy at -247 kJ/mol of atoms.



# 13
This record from Alexandria via LeMat-Bulk describes an optimized crystal structure of Sr5AlO6. The functional is PBE.

Structure (POSCAR):
```
Sr5AlO6
1.0
6.138 0.129 0.000
1.849 5.885 0.000
0.925 2.943 5.373
Sr O Al
5 6 1
Direct
0.000 0.333 0.334
0.500 0.500 0.000
0.000 0.667 0.666
0.500 0.842 0.315
0.500 0.158 0.685
0.199 0.671 0.264
0.801 0.065 0.264
0.762 0.769 0.000
0.801 0.329 0.736
0.238 0.231 0.000
0.199 0.935 0.736
0.000 0.000 0.000
```

The symmetry is No. 12. The calculation puts the uncorrected formation energy at -237 kJ/mol of atoms.



# 14
This record from Alexandria via LeMat-Bulk describes an optimized crystal structure of SrAl3O. The functional is PBE.

Structure (POSCAR):
```
SrAl3O
1.0
5.981 0.000 0.000
0.000 5.981 0.000
0.000 0.000 5.981
Al Sr O
3 1 1
Direct
0.000 0.500 0.000
0.500 0.000 0.000
0.000 0.000 0.500
0.000 0.000 0.000
0.500 0.500 0.500
```

The symmetry is No. 221. The excess energy over the best structure of this formula in the dataset is 2033 meV/atom. The calculation puts the uncorrected formation energy at 169 kJ/mol of atoms.



# 15
This record from Alexandria via LeMat-Bulk describes an optimized crystal structure of SrAlO3. The functional is PBE.

Structure (POSCAR):
```
SrAlO3
1.0
5.729 -0.034 0.058
-2.319 5.234 -0.014
-0.541 -1.959 4.775
O Sr Al
6 2 2
Direct
0.128 0.980 0.473
0.875 0.357 0.073
0.333 0.564 0.601
0.340 0.737 0.152
0.088 0.114 0.751
0.882 0.530 0.623
0.750 0.836 0.954
0.465 0.258 0.270
0.118 0.634 0.395
0.097 0.460 0.829
```

The symmetry is No. 2. The calculation puts the uncorrected formation energy at -250 kJ/mol of atoms.



# 16
This record from Alexandria via LeMat-Bulk describes an optimized crystal structure of SrAlO3. The functional is PBE.

Structure (POSCAR):
```
SrAlO3
1.0
2.348 -5.761 3.547
-2.420 -1.376 6.598
-4.386 -5.549 1.121
Sr O Al
4 12 4
Direct
0.125 0.625 0.625
0.625 0.625 0.125
0.625 0.125 0.625
0.625 0.625 0.625
0.049 0.049 0.451
0.799 0.201 0.799
0.201 0.201 0.799
0.451 0.049 0.451
0.799 0.799 0.201
0.049 0.451 0.451
0.201 0.799 0.201
0.049 0.451 0.049
0.201 0.799 0.799
0.799 0.201 0.201
0.451 0.049 0.049
0.451 0.451 0.049
0.125 0.625 0.125
0.125 0.125 0.125
0.125 0.125 0.625
0.625 0.125 0.125
```

The symmetry is No. 227. The calculation puts the uncorrected formation energy at -212 kJ/mol of atoms.



# 17
This record from Alexandria via LeMat-Bulk describes an optimized crystal structure of SrAlO3. The functional is PBE.

Structure (POSCAR):
```
SrAlO3
1.0
4.082 0.000 0.000
0.000 4.082 0.000
2.041 2.041 8.492
O Al Sr
6 2 2
Direct
0.082 0.821 0.835
0.741 0.741 0.519
0.259 0.259 0.481
0.179 0.918 0.165
0.656 0.918 0.165
0.082 0.344 0.835
0.000 0.000 0.000
0.250 0.750 0.500
0.855 0.355 0.291
0.645 0.145 0.709
```

The symmetry is No. 119. The calculation puts the uncorrected formation energy at -197 kJ/mol of atoms.